# 1
First-principles (PBE) data for an optimized crystal structure of LaHfO2, as listed in Alexandria.

Lattice parameters (Å, degrees): 6.508 6.508 6.508 33.86 33.86 33.86
Fractional coordinates of all 4 atoms:
1 La 0.500 0.500 0.500
2 Hf 0.000 0.000 0.000
3 O 0.109 0.109 0.109
4 O 0.891 0.891 0.891

Results
The space-group type is R-3m, No. 166. As for the size of the total moment: 0.0 μB per formula unit. For the energy above the lowest structure with this stoichiometry, the calculation gives 0 meV/atom. As for the raw formation energy: -2668.8 meV/atom.

=====

# 2
First-principles (PBE) data for an optimized crystal structure of La2HfO2, as listed in Alexandria.

Lattice parameters (Å, degrees): 7.264 7.264 3.379 90.00 90.00 90.00
Fractional coordinates of all 10 atoms:
1 O 0.157 0.343 0.000
2 O 0.343 0.843 0.000
3 O 0.657 0.157 0.000
4 O 0.843 0.657 0.000
5 La 0.338 0.162 0.500
6 La 0.162 0.662 0.500
7 La 0.662 0.838 0.500
8 La 0.838 0.338 0.500
9 Hf 0.000 0.000 0.000
10 Hf 0.500 0.500 0.000

Results
The space-group type is P4/mbm, No. 127. As for the size of the total moment: 0.0 μB per formula unit. For the energy above the lowest structure with this stoichiometry, the calculation gives 362 meV/atom. As for the raw formation energy: -1499.7 meV/atom.

=====

# 3
First-principles (PBE) data for an optimized crystal structure of LaHf3O, as listed in Alexandria.

Lattice parameters (Å, degrees): 5.180 5.180 5.180 90.00 90.00 90.00
Fractional coordinates of all 5 atoms:
1 Hf 0.000 0.500 0.000
2 Hf 0.000 0.000 0.500
3 Hf 0.500 0.000 0.000
4 La 0.000 0.000 0.000
5 O 0.500 0.500 0.500

Results
The space-group type is Pm-3m, No. 221. As for the size of the total moment: 0.2 μB per formula unit. For the energy above the lowest structure with this stoichiometry, the calculation gives 2768 meV/atom. As for the raw formation energy: 2032.4 meV/atom.

=====

# 4
First-principles (PBE) data for an optimized crystal structure of La2HfO5, as listed in Alexandria.

Lattice parameters (Å, degrees): 3.904 7.789 16.513 90.00 90.00 90.00
Fractional coordinates of all 32 atoms:
1 O 0.750 0.589 0.151
2 O 0.250 0.911 0.651
3 O 0.250 0.409 0.034
4 O 0.750 0.605 0.673
5 O 0.250 0.395 0.327
6 O 0.250 0.895 0.173
7 O 0.250 0.281 0.669
8 O 0.750 0.091 0.534
9 O 0.750 0.151 0.003
10 O 0.750 0.651 0.497
11 O 0.750 0.591 0.966
12 O 0.750 0.719 0.331
13 O 0.250 0.349 0.503
14 O 0.750 0.089 0.349
15 O 0.750 0.219 0.169
16 O 0.250 0.411 0.849
17 O 0.250 0.849 0.997
18 O 0.250 0.781 0.831
19 O 0.750 0.105 0.827
20 O 0.250 0.909 0.466
21 La 0.250 0.618 0.582
22 La 0.750 0.364 0.756
23 La 0.750 0.864 0.744
24 La 0.750 0.882 0.082
25 La 0.250 0.118 0.918
26 La 0.250 0.636 0.244
27 La 0.750 0.382 0.418
28 La 0.250 0.136 0.256
29 Hf 0.250 0.121 0.571
30 Hf 0.250 0.621 0.929
31 Hf 0.750 0.879 0.429
32 Hf 0.750 0.379 0.071

Results
The space-group type is Pnma, No. 62. As for the size of the total moment: 0.0 μB per formula unit. For the energy above the lowest structure with this stoichiometry, the calculation gives 3 meV/atom. As for the raw formation energy: -3533.3 meV/atom.

=====

# 5
First-principles (PBE) data for an optimized crystal structure of La2HfO2, as listed in Alexandria.

Lattice parameters (Å, degrees): 5.187 5.187 5.822 63.54 63.54 90.00
Fractional coordinates of all 5 atoms:
1 O 0.221 0.221 0.557
2 O 0.779 0.779 0.443
3 Hf 0.000 0.000 0.000
4 La 0.750 0.250 0.500
5 La 0.250 0.750 0.500

Results
The space-group type is I4/mmm, No. 139. As for the size of the total moment: 0.0 μB per formula unit. For the energy above the lowest structure with this stoichiometry, the calculation gives 0 meV/atom. As for the raw formation energy: -1861.5 meV/atom.

=====

# 6
First-principles (PBE) data for an optimized crystal structure of LaHfOs2O, as listed in Alexandria.

Lattice parameters (Å, degrees): 5.068 4.004 5.068 90.00 90.00 90.00
Fractional coordinates of all 5 atoms:
1 O 0.000 0.500 0.000
2 Os 0.500 0.000 0.000
3 Os 0.000 0.000 0.500
4 La 0.000 0.000 0.000
5 Hf 0.500 0.500 0.500

Results
The space-group type is P4/mmm, No. 123. As for the size of the total moment: 0.0 μB per formula unit. As for the raw formation energy: 1163.1 meV/atom.

=====

# 7
First-principles (PBE) data for an optimized crystal structure of LaHfP2O, as listed in Alexandria.

Lattice parameters (Å, degrees): 5.394 5.394 4.113 90.00 90.00 90.00
Fractional coordinates of all 5 atoms:
1 P 0.000 0.500 0.000
2 P 0.500 0.000 0.000
3 La 0.000 0.000 0.000
4 O 0.000 0.000 0.500
5 Hf 0.500 0.500 0.500

Results
The space-group type is P4/mmm, No. 123. As for the size of the total moment: 0.0 μB per formula unit. For the energy above the lowest structure with this stoichiometry, the calculation gives 1479 meV/atom. As for the raw formation energy: -51.4 meV/atom.

=====

# 8
First-principles (PBE) data for an optimized crystal structure of LaHfP2O, as listed in Alexandria.

Lattice parameters (Å, degrees): 5.087 5.087 4.047 90.00 90.00 90.00
Fractional coordinates of all 5 atoms:
1 O 0.000 0.000 0.500
2 Hf 0.000 0.000 0.000
3 La 0.500 0.500 0.500
4 P 0.000 0.500 0.000
5 P 0.500 0.000 0.000

Results
The space-group type is P4/mmm, No. 123. As for the size of the total moment: 0.0 μB per formula unit. For the energy above the lowest structure with this stoichiometry, the calculation gives 0 meV/atom. As for the raw formation energy: -1530.8 meV/atom.

=====

# 9
First-principles (PBE) data for an optimized crystal structure of LaHfPO2, as listed in Alexandria.

Lattice parameters (Å, degrees): 4.150 4.150 5.214 90.00 90.00 90.00
Fractional coordinates of all 5 atoms:
1 Hf 0.000 0.000 0.000
2 O 0.000 0.500 0.000
3 O 0.500 0.000 0.000
4 La 0.500 0.500 0.500
5 P 0.000 0.000 0.500

Results
The space-group type is P4/mmm, No. 123. As for the size of the total moment: 0.0 μB per formula unit. For the energy above the lowest structure with this stoichiometry, the calculation gives 0 meV/atom. As for the raw formation energy: -2474.8 meV/atom.

=====

# 10
First-principles (PBE) data for an optimized crystal structure of LaHfPO2, as listed in Alexandria.

Lattice parameters (Å, degrees): 4.199 4.199 6.208 90.00 90.00 90.00
Fractional coordinates of all 5 atoms:
1 La 0.000 0.000 0.000
2 O 0.500 0.000 0.000
3 O 0.000 0.500 0.000
4 P 0.000 0.000 0.500
5 Hf 0.500 0.500 0.500

Results
The space-group type is P4/mmm, No. 123. As for the size of the total moment: 0.5 μB per formula unit. For the energy above the lowest structure with this stoichiometry, the calculation gives 1557 meV/atom. As for the raw formation energy: -917.8 meV/atom.

=====

# 11
First-principles (PBE) data for an optimized crystal structure of LaHfPaO6, as listed in Alexandria.

Lattice parameters (Å, degrees): 5.728 5.728 10.001 90.00 90.00 120.00
Fractional coordinates of all 18 atoms:
1 Hf 0.667 0.333 0.250
2 Hf 0.333 0.667 0.750
3 O 0.636 0.988 0.860
4 O 0.364 0.012 0.140
5 O 0.352 0.988 0.640
6 O 0.364 0.352 0.360
7 O 0.648 0.636 0.140
8 O 0.012 0.364 0.640
9 O 0.648 0.012 0.360
10 O 0.012 0.648 0.860
11 O 0.988 0.352 0.140
12 O 0.636 0.648 0.640
13 O 0.352 0.364 0.860
14 O 0.988 0.636 0.360
15 Pa 0.333 0.667 0.250
16 Pa 0.667 0.333 0.750
17 La 0.000 0.000 0.500
18 La 0.000 0.000 0.000

Results
The space-group type is P-31c, No. 163. As for the size of the total moment: 0.0 μB per formula unit. As for the raw formation energy: -3544.3 meV/atom.

=====

# 12
First-principles (PBE) data for an optimized crystal structure of LaHf2PdO, as listed in Alexandria.

Lattice parameters (Å, degrees): 5.313 4.853 5.313 90.00 90.00 90.00
Fractional coordinates of all 5 atoms:
1 O 0.500 0.500 0.500
2 Pd 0.000 0.500 0.000
3 Hf 0.500 0.000 0.000
4 Hf 0.000 0.000 0.500
5 La 0.000 0.000 0.000

Results
The space-group type is P4/mmm, No. 123. As for the size of the total moment: 0.7 μB per formula unit. As for the raw formation energy: 1835.4 meV/atom.

=====

no.,theoretical density (g/cm3),calculated total energy (eV per atom)
1,7.6,-8.868
2,9.1,-7.445
3,8.2,-5.917
4,7.1,-9.108
5,6.7,-7.806
6,11.5,-7.297
7,5.5,-6.183
8,6.3,-7.663
9,7.0,-8.516
10,5.8,-6.959
11,7.5,-9.558
12,7.5,-5.162